Computed, not measured: a relaxed structure of CsMgNbC2 at the GGA-PBE level of DFT.

a = 4.399 Å, b = 4.399 Å, c = 5.509 Å
α = 90.00°, β = 90.00°, γ = 90.00°
Space group P4/mmm (No. 123)
One atom of each set of equivalent atoms:
Cs (0.000, 0.000, 0.000) x1
Mg (0.500, 0.500, 0.000) x1
Nb (0.500, 0.500, 0.500) x1
C (0.000, 0.500, 0.500) x2

Calculated values
Energy relative to the elements, eV/atom: 1.3449
Calculated total energy, eV/cell: -24.2